1.
First-principles (PBE) data for a geometry-optimized SmErBi2 structure, as listed in Alexandria via LeMat-Bulk.

Lattice parameters (Å, degrees): 7.793 7.793 7.793 33.60 33.60 33.60
Fractional coordinates of all 4 atoms:
Sm (0.000, 0.000, 0.000)
Er (0.500, 0.500, 0.500)
Bi (0.247, 0.247, 0.247)
Bi (0.753, 0.753, 0.753)

Output
E above lowest polymorph in meV per atom: 0
Fermi-level density of states in states/eV/f.u.: 0.748

---

2.
First-principles (PBE) data for a geometry-optimized Sm4ErBi5 structure, as listed in Alexandria via LeMat-Bulk.

Lattice parameters (Å, degrees): 16.347 16.347 16.347 164.04 164.04 22.64
Fractional coordinates of all 10 atoms:
Sm (0.100, 0.100, 0.000)
Sm (0.301, 0.301, 0.000)
Sm (0.699, 0.699, 0.000)
Sm (0.900, 0.900, 0.000)
Er (0.500, 0.500, 0.000)
Bi (0.000, 0.000, 0.000)
Bi (0.200, 0.200, 0.000)
Bi (0.402, 0.402, 0.000)
Bi (0.598, 0.598, 0.000)
Bi (0.800, 0.800, 0.000)

Output
Fermi-level density of states in states/eV/f.u.: 1.216

---

3.
First-principles (PBE) data for a geometry-optimized SmErBi2 structure, as listed in Alexandria via LeMat-Bulk.

Lattice parameters (Å, degrees): 4.503 6.371 9.003 90.00 90.00 90.00
Fractional coordinates of all 8 atoms:
Sm (0.250, 0.250, 0.126)
Sm (0.750, 0.750, 0.874)
Er (0.250, 0.250, 0.625)
Er (0.750, 0.750, 0.375)
Bi (0.250, 0.750, 0.131)
Bi (0.250, 0.750, 0.619)
Bi (0.750, 0.250, 0.381)
Bi (0.750, 0.250, 0.869)

Output
E above lowest polymorph in meV per atom: 0
Fermi-level density of states in states/eV/f.u.: 0.629

---

4.
First-principles (PBE) data for a geometry-optimized Sm5ErBi5 structure, as listed in Alexandria via LeMat-Bulk.

Lattice parameters (Å, degrees): 7.771 7.771 8.971 106.97 106.97 48.37
Fractional coordinates of all 11 atoms:
Sm (0.000, 0.000, 0.000)
Sm (0.331, 0.331, 0.165)
Sm (0.337, 0.337, 0.673)
Sm (0.663, 0.663, 0.327)
Sm (0.669, 0.669, 0.835)
Er (0.000, 0.000, 0.500)
Bi (0.165, 0.165, 0.831)
Bi (0.167, 0.167, 0.336)
Bi (0.500, 0.500, 0.500)
Bi (0.833, 0.833, 0.664)
Bi (0.835, 0.835, 0.169)

Output
Fermi-level density of states in states/eV/f.u.: 5.007

---

no.,E_form (eV/atom)
1,-0.867
2,-0.901
3,-0.867
4,-0.716